[1]
The following is a PBE-GGA calculation of a relaxed RbSrZn2 crystal, from Alexandria via LeMat-Bulk.

## Properties
M_tot (μB/f.u.): 0.0
Volume (Å³ per cell): 137.3

abc: 5.7909 5.7909 5.7909
angles: 60.00 60.00 60.00
Positions (direct):
Rb: 0.0000 0.0000 0.0000
Sr: 0.5000 0.5000 0.5000
Zn: 0.2500 0.2500 0.2500
Zn: 0.7500 0.7500 0.7500


[2]
The following is a PBE-GGA calculation of a relaxed RbSrZn crystal, from Alexandria via LeMat-Bulk.

## Properties
M_tot (μB/f.u.): 0.0
Volume (Å³ per cell): 297.0

abc: 4.2172 4.2172 16.7003
angles: 90.00 90.00 90.00
Positions (direct):
Rb: 0.2500 0.2500 0.1262
Rb: 0.7500 0.7500 0.8738
Sr: 0.2500 0.2500 0.6504
Sr: 0.7500 0.7500 0.3496
Zn: 0.2500 0.7500 0.5000
Zn: 0.7500 0.2500 0.5000


Across the entries above, Fermi-level density of states takes the values 1.081, 0.771 states/eV/atom, respectively.
Across the entries above, ΔH_f (0 K) takes the values 139.6, 73.8 meV per atom, respectively.
Across the entries above, energy relative to the lowest polymorph listed for this composition takes the values 0.0000, 0.0063 eV/atom, respectively.